Entry 1:
Compound: Y3IrPb
Source: Alexandria
Functional: GGA-PBE
Structure: optimized geometry

Lattice parameters (Å, degrees): 8.169 10.497 6.649 90.00 90.00 90.00
Fractional positions:
1 Y 0.032 0.250 0.122
2 Y 0.184 0.050 0.652
3 Y 0.184 0.450 0.652
4 Y 0.316 0.550 0.152
5 Y 0.316 0.950 0.152
6 Y 0.468 0.750 0.622
7 Y 0.532 0.250 0.378
8 Y 0.684 0.050 0.848
9 Y 0.684 0.450 0.848
10 Y 0.816 0.550 0.348
11 Y 0.816 0.950 0.348
12 Y 0.968 0.750 0.878
13 Ir 0.000 0.000 0.000
14 Ir 0.000 0.500 0.000
15 Ir 0.500 0.000 0.500
16 Ir 0.500 0.500 0.500
17 Pb 0.107 0.750 0.430
18 Pb 0.393 0.250 0.930
19 Pb 0.607 0.750 0.070
20 Pb 0.893 0.250 0.570

Summary:
As for the energy relative to the lowest polymorph listed for this composition: 0.25 eV/f.u. For the formation energy, the calculation gives -2.84 eV per formula unit. The total energy comes out at -139.2 eV for the cell shown. Its density of states at the Fermi level is 5.1 states/eV/f.u.



Entry 2:
Compound: Y3IrPb
Source: Alexandria
Functional: GGA-PBE
Structure: optimized geometry

Lattice parameters (Å, degrees): 3.713 8.243 9.174 93.26 101.66 90.01
Fractional positions:
1 Y 0.000 0.000 0.000
2 Y 0.072 0.501 0.143
3 Y 0.178 0.157 0.356
4 Y 0.315 0.887 0.632
5 Y 0.401 0.310 0.804
6 Y 0.747 0.480 0.494
7 Ir 0.557 0.238 0.115
8 Ir 0.802 0.149 0.606
9 Pb 0.650 0.811 0.302
10 Pb 0.907 0.651 0.823

Summary:
As for the energy relative to the lowest polymorph listed for this composition: 0.09 eV/f.u. For the formation energy, the calculation gives -3.00 eV per formula unit. The total energy comes out at -69.9 eV for the cell shown. Its density of states at the Fermi level is 3.5 states/eV/f.u.